## a
This record from Alexandria describes a relaxed KMnCd3 crystal. The functional is PBEsol.

Computed properties:
Fermi-level density of states ... 0.707 states/eV/atom
Calculated volume ... 200.5 Å³ per cell
Space group ... No. 221

```
KMnCd3
1.0
5.853 0.000 0.000
0.000 5.853 0.000
0.000 0.000 5.853
K Mn Cd
1 1 3
Cartesian
0.000 0.000 0.000
2.927 2.927 2.927
0.000 0.000 2.927
0.000 2.927 0.000
2.927 0.000 0.000
```

=====

## b
This record from Alexandria describes a relaxed KMnCd3 crystal. The functional is PBEsol.

Computed properties:
Fermi-level density of states ... 0.957 states/eV/atom
Calculated volume ... 140.2 Å³ per cell
Space group ... No. 221

```
KMnCd3
1.0
5.195 0.000 0.000
0.000 5.195 0.000
0.000 0.000 5.195
K Mn Cd
1 1 3
Cartesian
0.000 0.000 0.000
2.597 2.597 2.597
0.000 2.597 2.597
2.597 0.000 2.597
2.597 2.597 0.000
```

=====

Relative to the most stable one, in meV per atom, the structures come out at a 962; b 0.

=====

## a
This record from Alexandria describes a relaxed KCd2Mo crystal. The functional is PBEsol.

Computed properties:
Fermi-level density of states ... 0.515 states/eV/atom
Calculated volume ... 103.7 Å³ per cell
Space group ... No. 99

```
KCd2Mo
1.0
3.582 0.000 0.000
0.000 3.582 0.000
0.000 0.000 8.083
K Cd Mo
1 2 1
Cartesian
0.000 0.000 0.000
0.000 0.000 3.765
1.791 1.791 5.527
1.791 1.791 2.594
```

=====

## b
This record from Alexandria describes a relaxed KCd2Mo crystal. The functional is PBEsol.

Computed properties:
Fermi-level density of states ... 0.546 states/eV/atom
Calculated volume ... 82.9 Å³ per cell
Space group ... No. 123

```
KCd2Mo
1.0
5.430 0.000 0.000
0.000 5.430 0.000
0.000 0.000 2.813
K Cd Mo
1 2 1
Cartesian
0.000 0.000 0.000
0.000 2.715 1.407
2.715 0.000 1.407
2.715 2.715 0.000
```

=====

Relative to the most stable one, in meV per atom, the structures come out at a 258; b 0.